# 1
# Tb4CePr8, optimized geometry, DFT PBE
data_Tb4CePr8
_chemical_formula_sum 'Tb12 Ce3 Pr24'
_cell_length_a 7.4670
_cell_length_b 7.4670
_cell_length_c 27.9124
_cell_angle_alpha 90.00
_cell_angle_beta 90.00
_cell_angle_gamma 120.00
_space_group_name_H-M_alt 'R -3 m'
_space_group_IT_number 166
_space_group_name_Hall '-R 3 2"'
loop_
_atom_site_label
_atom_site_type_symbol
_atom_site_fract_x
_atom_site_fract_y
_atom_site_fract_z
Tb1 Tb 0.0000 0.0000 0.0000
Tb2 Tb 0.0000 0.5000 0.0000
Ce1 Ce 0.0000 0.0000 0.5000
Pr1 Pr 0.0000 0.0000 0.2209
Pr2 Pr 0.0275 0.5138 0.7693
# crystal system	trigonal
# DFT total energy	-0.172	hartree per atom
# energy of formation	0.145	eV/atom

# 2
# Tb8CePr3, optimized geometry, DFT PBE
data_Tb8CePr3
_chemical_formula_sum 'Tb16 Ce2 Pr6'
_cell_length_a 8.760
_cell_length_b 8.760
_cell_length_c 11.355
_cell_angle_alpha 90.00
_cell_angle_beta 90.00
_cell_angle_gamma 90.00
_space_group_name_H-M_alt 'I -4 2 m'
_space_group_IT_number 121
_space_group_name_Hall 'I -4 2'
loop_
_atom_site_label
_atom_site_type_symbol
_atom_site_fract_x
_atom_site_fract_y
_atom_site_fract_z
Tb1 Tb 0.124 0.124 0.237
Tb2 Tb 0.233 0.233 0.972
Ce1 Ce 0.000 0.000 0.000
Pr1 Pr 0.000 0.000 0.500
Pr2 Pr 0.000 0.500 0.250
# crystal system	tetragonal
# DFT total energy	-0.154	hartree per atom
# energy of formation	0.573	eV/atom

# 3
# Tb2CePr, optimized geometry, DFT PBE
data_Tb2CePr
_chemical_formula_sum 'Tb6 Ce3 Pr3'
_cell_length_a 3.5843
_cell_length_b 3.5843
_cell_length_c 35.1114
_cell_angle_alpha 90.00
_cell_angle_beta 90.00
_cell_angle_gamma 120.00
_space_group_name_H-M_alt 'R 3 m'
_space_group_IT_number 160
_space_group_name_Hall 'R 3 -2"'
loop_
_atom_site_label
_atom_site_type_symbol
_atom_site_fract_x
_atom_site_fract_y
_atom_site_fract_z
Tb1 Tb 0.0000 0.0000 0.0000
Tb2 Tb 0.0000 0.0000 0.1640
Ce1 Ce 0.0000 0.0000 0.7482
Pr1 Pr 0.0000 0.0000 0.5821
# crystal system	trigonal
# DFT total energy	-0.181	hartree per atom
# energy of formation	0.065	eV/atom
# offset from the most stable computed form	5	meV per atom

# 4
# Tb10CePr4, optimized geometry, DFT PBE
data_Tb10CePr4
_chemical_formula_sum 'Tb20 Ce2 Pr8'
_cell_length_a 10.306
_cell_length_b 10.306
_cell_length_c 9.447
_cell_angle_alpha 90.00
_cell_angle_beta 90.00
_cell_angle_gamma 90.00
_space_group_name_H-M_alt 'I 4/m m m'
_space_group_IT_number 139
_space_group_name_Hall '-I 4 2'
loop_
_atom_site_label
_atom_site_type_symbol
_atom_site_fract_x
_atom_site_fract_y
_atom_site_fract_z
Tb1 Tb 0.000 0.500 0.250
Tb2 Tb 0.154 0.154 0.180
Ce1 Ce 0.000 0.000 0.500
Pr1 Pr 0.000 0.294 0.500
# crystal system	tetragonal
# DFT total energy	-0.161	hartree per atom
# energy of formation	0.367	eV/atom

Among the records above, which one has the lowest DFT total energy?
Tb2CePr

Please write out number 4 again, unchanged.
# Tb10CePr4, optimized geometry, DFT PBE
data_Tb10CePr4
_chemical_formula_sum 'Tb20 Ce2 Pr8'
_cell_length_a 10.306
_cell_length_b 10.306
_cell_length_c 9.447
_cell_angle_alpha 90.00
_cell_angle_beta 90.00
_cell_angle_gamma 90.00
_space_group_name_H-M_alt 'I 4/m m m'
_space_group_IT_number 139
_space_group_name_Hall '-I 4 2'
loop_
_atom_site_label
_atom_site_type_symbol
_atom_site_fract_x
_atom_site_fract_y
_atom_site_fract_z
Tb1 Tb 0.000 0.500 0.250
Tb2 Tb 0.154 0.154 0.180
Ce1 Ce 0.000 0.000 0.500
Pr1 Pr 0.000 0.294 0.500
# crystal system	tetragonal
# DFT total energy	-0.161	hartree per atom
# energy of formation	0.367	eV/atom

What did the second record say?
# Tb8CePr3, optimized geometry, DFT PBE
data_Tb8CePr3
_chemical_formula_sum 'Tb16 Ce2 Pr6'
_cell_length_a 8.760
_cell_length_b 8.760
_cell_length_c 11.355
_cell_angle_alpha 90.00
_cell_angle_beta 90.00
_cell_angle_gamma 90.00
_space_group_name_H-M_alt 'I -4 2 m'
_space_group_IT_number 121
_space_group_name_Hall 'I -4 2'
loop_
_atom_site_label
_atom_site_type_symbol
_atom_site_fract_x
_atom_site_fract_y
_atom_site_fract_z
Tb1 Tb 0.124 0.124 0.237
Tb2 Tb 0.233 0.233 0.972
Ce1 Ce 0.000 0.000 0.000
Pr1 Pr 0.000 0.000 0.500
Pr2 Pr 0.000 0.500 0.250
# crystal system	tetragonal
# DFT total energy	-0.154	hartree per atom
# energy of formation	0.573	eV/atom